(1)
LaHoTmTh | PBE | relaxed

Summary:
The value obtained for the energy above the lowest structure with this stoichiometry is 0.094 eV/atom. For the total energy, the calculation gives -20.97 eV for the cell shown. The value obtained for the formation energy is 107 meV per atom.

Cell: 5.698 5.698 5.698 Å, 60.00 60.00 60.00°
Atoms (fractional coordinates):
La (0.500, 0.500, 0.500)
Tm (0.250, 0.250, 0.250)
Ho (0.750, 0.750, 0.750)
Th (0.000, 0.000, 0.000)

(2)
La2YHo5Th | PBE | relaxed

Summary:
For the total energy, the calculation gives -90.34 eV for the cell shown. The value obtained for the formation energy is 162 meV per atom.

Cell: 5.629 10.229 10.989 Å, 90.00 90.00 105.97°
Atoms (fractional coordinates):
Ho (0.985, 0.970, 0.528)
Ho (0.481, 0.963, 0.738)
Ho (0.701, 0.401, 0.209)
Ho (0.717, 0.435, 0.808)
Ho (0.015, 0.030, 0.028)
Ho (0.392, 0.785, 0.020)
Ho (0.608, 0.215, 0.520)
Ho (0.283, 0.565, 0.308)
Ho (0.299, 0.599, 0.709)
Ho (0.519, 0.037, 0.238)
La (0.115, 0.230, 0.734)
La (0.116, 0.232, 0.317)
La (0.885, 0.770, 0.234)
La (0.884, 0.768, 0.817)
Y (0.797, 0.594, 0.508)
Y (0.203, 0.406, 0.008)
Th (0.582, 0.164, 0.963)
Th (0.418, 0.836, 0.463)

Number 1: D(E_F) 6.62 states/eV/f.u.. Number 2: D(E_F) 13.36 states/eV/f.u..